A relaxed BaNa2RhPb crystal, computed with PBE.

Results
crystal system = tetragonal
space-group type = P4/mmm, No. 123
energy above the lowest structure with this stoichiometry = 0.797 eV per atom
calculated volume = 38.070 Å³ per atom
DFT formation energy = 757 meV/atom

POSCAR file:
```
BaNa2RhPb
1.0
6.118 0.000 0.000
0.000 6.118 0.000
0.000 0.000 5.086
Ba Na Rh Pb
1 2 1 1
Direct
0.000 0.000 0.000 Ba
0.000 0.500 0.000 Na
0.500 0.000 0.000 Na
0.000 0.000 0.500 Rh
0.500 0.500 0.500 Pb
```

---

A relaxed BaNa2RhPb crystal, computed with PBE.

Results
crystal system = tetragonal
space-group type = P4/mmm, No. 123
energy above the lowest structure with this stoichiometry = 0.000 eV per atom
calculated volume = 31.615 Å³ per atom
DFT formation energy = -41 meV/atom

POSCAR file:
```
BaNa2RhPb
1.0
5.469 0.000 0.000
0.000 5.469 0.000
0.000 0.000 5.285
Ba Na Rh Pb
1 2 1 1
Direct
0.000 0.000 0.000 Ba
0.000 0.500 0.500 Na
0.500 0.000 0.500 Na
0.500 0.500 0.500 Rh
0.500 0.500 0.000 Pb
```

---

A relaxed Ba2NaPbS4 crystal, computed with PBE.

Results
crystal system = orthorhombic
space-group type = Imma, No. 74
E_tot = -4.44 eV per atom
calculated volume = 28.833 Å³ per atom

POSCAR file:
```
Ba2NaPbS4
1.0
-4.347 4.413 6.012
4.347 -4.413 6.012
4.347 4.413 -6.012
Ba Na Pb S
4 2 2 8
Direct
0.000 0.000 0.000 Ba
0.500 0.000 0.000 Ba
0.500 0.000 0.500 Ba
0.500 0.500 0.500 Ba
0.000 0.500 0.500 Na
0.500 0.500 0.000 Na
0.000 0.000 0.500 Pb
0.000 0.500 0.000 Pb
0.227 0.741 0.485 S
0.237 0.245 0.508 S
0.237 0.729 0.992 S
0.244 0.259 0.985 S
0.756 0.741 0.015 S
0.763 0.271 0.008 S
0.763 0.755 0.492 S
0.773 0.259 0.515 S
```

---

A relaxed BaNaPb2Se4 crystal, computed with PBE.

Results
crystal system = orthorhombic
space-group type = Cmcm, No. 63
E_tot = -3.96 eV per atom
calculated volume = 30.531 Å³ per atom

POSCAR file:
```
BaNaPb2Se4
1.0
2.240 -7.306 0.000
2.240 7.306 0.000
0.000 0.000 14.923
Ba Na Pb Se
2 2 4 8
Direct
0.122 0.878 0.750 Ba
0.878 0.122 0.250 Ba
0.143 0.857 0.250 Na
0.857 0.143 0.750 Na
0.371 0.629 0.557 Pb
0.371 0.629 0.943 Pb
0.629 0.371 0.057 Pb
0.629 0.371 0.443 Pb
0.000 0.000 0.000 Se
0.000 0.000 0.500 Se
0.271 0.729 0.113 Se
0.271 0.729 0.387 Se
0.461 0.539 0.750 Se
0.539 0.461 0.250 Se
0.729 0.271 0.613 Se
0.729 0.271 0.887 Se
```

---

A relaxed BaNaSnPb2 crystal, computed with PBE.

Results
crystal system = orthorhombic
space-group type = Imm2, No. 44
calculated volume = 34.896 Å³ per atom
DFT formation energy = -343 meV/atom

POSCAR file:
```
BaNaSnPb2
1.0
-2.419 2.544 7.086
2.419 -2.544 7.086
2.419 2.544 -7.086
Ba Na Sn Pb
1 1 1 2
Direct
0.000 0.000 0.000 Ba
0.239 0.739 0.500 Na
0.602 0.602 0.000 Sn
0.388 0.388 0.000 Pb
0.742 0.242 0.500 Pb
```

---

A relaxed BaNaSnPb crystal, computed with PBE.

Results
crystal system = monoclinic
space-group type = Cm, No. 8
energy above the lowest structure with this stoichiometry = 0.000 eV per atom
calculated volume = 35.035 Å³ per atom
DFT formation energy = -303 meV/atom

POSCAR file:
```
BaNaSnPb
1.0
4.466 -2.898 0.000
4.466 2.898 0.000
-3.584 0.000 5.414
Ba Na Sn Pb
1 1 1 1
Direct
0.000 0.000 0.000 Ba
0.237 0.237 0.673 Na
0.784 0.784 0.318 Sn
0.498 0.498 0.456 Pb
```

---

A relaxed BaNaSn2Pb crystal, computed with PBE.

Results
crystal system = orthorhombic
space-group type = Imm2, No. 44
calculated volume = 33.707 Å³ per atom
DFT formation energy = -361 meV/atom

POSCAR file:
```
BaNaSn2Pb
1.0
-2.364 2.553 6.980
2.364 -2.553 6.980
2.364 2.553 -6.980
Ba Na Sn Pb
1 1 2 1
Direct
0.000 0.000 0.000 Ba
0.240 0.740 0.500 Na
0.609 0.609 0.000 Sn
0.747 0.247 0.500 Sn
0.389 0.389 0.000 Pb
```

---

A relaxed BaNaSnPb crystal, computed with PBE.

Results
crystal system = cubic
space-group type = F-43m, No. 216
energy above the lowest structure with this stoichiometry = 0.006 eV per atom
calculated volume = 33.884 Å³ per atom
DFT formation energy = -297 meV/atom

POSCAR file:
```
BaNaSnPb
1.0
0.000 4.077 4.077
4.077 0.000 4.077
4.077 4.077 0.000
Ba Na Sn Pb
1 1 1 1
Direct
0.000 0.000 0.000 Ba
0.500 0.500 0.500 Na
0.250 0.250 0.250 Sn
0.750 0.750 0.750 Pb
```

---

A relaxed BaNa2Sr2Pb2 crystal, computed with PBE.

Results
crystal system = trigonal
space-group type = R-3m, No. 166
calculated volume = 38.405 Å³ per atom
DFT formation energy = -363 meV/atom

POSCAR file:
```
BaNa2Sr2Pb2
1.0
2.785 1.608 10.002
-2.785 1.608 10.002
0.000 -3.216 10.002
Ba Na Sr Pb
1 2 2 2
Direct
0.000 0.000 0.000 Ba
0.401 0.401 0.401 Na
0.599 0.599 0.599 Na
0.130 0.130 0.130 Sr
0.870 0.870 0.870 Sr
0.252 0.252 0.252 Pb
0.748 0.748 0.748 Pb
```

---

A relaxed BaNaTiPb2 crystal, computed with PBE.

Results
crystal system = tetragonal
space-group type = P4/mmm, No. 123
calculated volume = 43.535 Å³ per atom
DFT formation energy = 1316 meV/atom

POSCAR file:
```
BaNaTiPb2
1.0
6.185 0.000 0.000
0.000 6.185 0.000
0.000 0.000 5.691
Ba Na Ti Pb
1 1 1 2
Direct
0.000 0.000 0.000 Ba
0.000 0.000 0.500 Na
0.500 0.500 0.500 Ti
0.000 0.500 0.000 Pb
0.500 0.000 0.000 Pb
```

---

A relaxed BaNaTl4Pb2 crystal, computed with PBE.

Results
crystal system = trigonal
space-group type = R-3m, No. 166
calculated volume = 31.950 Å³ per atom
DFT formation energy = -208 meV/atom

POSCAR file:
```
BaNaTl4Pb2
1.0
2.817 1.627 9.297
-2.817 1.627 9.297
0.000 -3.253 9.297
Ba Na Tl Pb
1 1 4 2
Direct
0.000 0.000 0.000 Ba
0.500 0.500 0.500 Na
0.130 0.130 0.130 Tl
0.383 0.383 0.383 Tl
0.617 0.617 0.617 Tl
0.870 0.870 0.870 Tl
0.249 0.249 0.249 Pb
0.751 0.751 0.751 Pb
```

---

A relaxed BaNaTl3Pb crystal, computed with PBE.

Results
crystal system = monoclinic
space-group type = P2_1/m, No. 11
calculated volume = 32.882 Å³ per atom
DFT formation energy = -214 meV/atom

POSCAR file:
```
BaNaTl3Pb
1.0
8.165 0.000 0.000
0.000 5.219 0.000
-3.892 0.000 9.260
Ba Na Tl Pb
2 2 6 2
Direct
0.124 0.250 0.248 Ba
0.876 0.750 0.752 Ba
0.466 0.750 0.844 Na
0.534 0.250 0.156 Na
0.156 0.750 0.519 Tl
0.215 0.250 0.815 Tl
0.265 0.750 0.064 Tl
0.735 0.250 0.936 Tl
0.785 0.750 0.185 Tl
0.844 0.250 0.481 Tl
0.476 0.250 0.603 Pb
0.524 0.750 0.397 Pb
```

---

no.,D(E_F) (states/eV/cell)
1,3.68
2,3.06
3,10.51
4,12.27
5,2.51
6,2.43
7,2.16
8,2.69
9,1.17
10,5.16
11,3.61
12,5.85